Entry 1:
Ca3GaCu | GGA-PBE | relaxed

Cell: 5.4663 5.4663 5.4663 Å, 90.00 90.00 90.00°
Element x y z (fractional)
1 Ca 0.0000 0.5000 0.0000
2 Ca 0.0000 0.0000 0.5000
3 Ca 0.5000 0.0000 0.0000
4 Cu 0.0000 0.0000 0.0000
5 Ga 0.5000 0.5000 0.5000

Summary:
Its space group is Pm-3m (221). For the energy above the most stable polymorph in this dataset, the calculation gives 0.000 eV/atom.

Entry 2:
Ca2Ga5Cu3 | GGA-PBE | relaxed

Cell: 4.3128 6.7834 12.4547 Å, 90.00 99.97 90.00°
Element x y z (fractional)
1 Ca 0.4845 0.7563 0.9689
2 Ca 0.1751 0.7241 0.3502
3 Ca 0.8249 0.2241 0.6498
4 Ca 0.5155 0.2563 0.0311
5 Ga 0.3970 0.4252 0.7940
6 Ga 0.2905 0.5187 0.5811
7 Ga 0.7095 0.0187 0.4189
8 Ga 0.1234 0.2551 0.2468
9 Ga 0.2940 0.9141 0.5879
10 Ga 0.9469 0.0694 0.8938
11 Ga 0.7060 0.4141 0.4121
12 Ga 0.8766 0.7551 0.7532
13 Ga 0.0531 0.5694 0.1062
14 Ga 0.6030 0.9252 0.2060
15 Cu 0.7737 0.7131 0.5474
16 Cu 0.6076 0.5249 0.2152
17 Cu 0.0531 0.9639 0.1062
18 Cu 0.2263 0.2131 0.4526
19 Cu 0.9469 0.4639 0.8938
20 Cu 0.3924 0.0249 0.7848

Summary:
Its space group is Cmc2_1 (36). For the energy above the most stable polymorph in this dataset, the calculation gives 0.000 eV/atom.

Entry 3:
Ca2Ga4Cu3 | GGA-PBE | relaxed

Cell: 5.4883 5.4883 6.9680 Å, 100.86 100.86 121.45°
Element x y z (fractional)
1 Ca 0.6358 0.6358 0.2715
2 Ca 0.3642 0.3642 0.7285
3 Ga 0.0180 0.6633 0.6812
4 Ga 0.6633 0.0180 0.6812
5 Ga 0.9820 0.3367 0.3188
6 Ga 0.3367 0.9820 0.3188
7 Cu 0.5000 0.0000 0.0000
8 Cu 0.0000 0.0000 0.0000
9 Cu 0.0000 0.5000 0.0000

Summary:
Its space group is Fmmm (69).

Entry 4:
Ca8Ga2Cu | GGA-PBE | relaxed

Cell: 3.8577 9.6358 11.3116 Å, 115.21 99.82 90.00°
Element x y z (fractional)
1 Ca 0.6773 0.8633 0.3546
2 Ca 0.3227 0.5087 0.6454
3 Ca 0.1187 0.1187 0.2374
4 Ca 0.0000 0.2844 0.0000
5 Ca 0.8813 0.8813 0.7626
6 Ca 0.6773 0.4913 0.3546
7 Ca 0.3227 0.1367 0.6454
8 Ca 0.0000 0.7156 0.0000
9 Ga 0.2619 0.7619 0.5238
10 Ga 0.7381 0.2381 0.4762
11 Cu 0.5000 0.0000 0.0000

Summary:
Its space group is Immm (71). For the energy above the most stable polymorph in this dataset, the calculation gives 0.077 eV/atom.

Entry 5:
Ca2GaCu | GGA-PBE | relaxed

Cell: 4.3453 5.7751 8.8350 Å, 112.49 90.00 90.00°
Element x y z (fractional)
1 Ca 0.7500 0.2155 0.4279
2 Ca 0.2500 0.7845 0.5721
3 Ca 0.2500 0.7884 0.0712
4 Ca 0.7500 0.2116 0.9288
5 Ga 0.7500 0.6200 0.2790
6 Ga 0.2500 0.3800 0.7210
7 Cu 0.2500 0.3942 0.2224
8 Cu 0.7500 0.6058 0.7776

Summary:
Its space group is P2_1/m (11).

Entry 6:
CaGa6Cu6 | GGA-PBE | relaxed

Cell: 5.1594 6.6635 6.6635 Å, 80.35 67.22 67.22°
Element x y z (fractional)
1 Ca 0.0000 0.0000 0.0000
2 Ga 0.3493 0.6507 0.6507
3 Ga 0.6507 0.3493 0.3493
4 Ga 0.0000 0.3476 0.6524
5 Ga 0.0000 0.6524 0.3476
6 Ga 0.3043 0.1957 0.1957
7 Ga 0.6957 0.8043 0.8043
8 Cu 0.0000 0.5000 0.0000
9 Cu 0.5000 0.5000 0.0000
10 Cu 0.0000 0.0000 0.5000
11 Cu 0.5000 0.0000 0.5000
12 Cu 0.5000 0.7667 0.2333
13 Cu 0.5000 0.2333 0.7667

Summary:
Its space group is Immm (71).

Entry 7:
Ca4GaCu | GGA-PBE | relaxed

Cell: 6.6623 8.0344 8.4688 Å, 113.63 107.74 100.77°
Element x y z (fractional)
1 Ca 0.0123 0.2420 0.8824
2 Ca 0.7855 0.6929 0.6373
3 Ca 0.3700 0.6404 0.8824
4 Ca 0.3518 0.9444 0.6373
5 Ca 0.6482 0.0556 0.3627
6 Ca 0.6300 0.3596 0.1176
7 Ca 0.2145 0.3071 0.3627
8 Ca 0.9877 0.7580 0.1176
9 Ga 0.3846 0.6346 0.2693
10 Ga 0.6154 0.3654 0.7307
11 Cu 0.2472 0.9972 0.9945
12 Cu 0.7528 0.0028 0.0055

Summary:
Its space group is C2/c (15). For the energy above the most stable polymorph in this dataset, the calculation gives 0.000 eV/atom.

Entry 8:
Ca2Ga9Cu6 | GGA-PBE | relaxed

Cell: 5.3973 5.3973 12.1876 Å, 90.00 90.00 120.00°
Element x y z (fractional)
1 Ca 0.0000 0.0000 0.6658
2 Ca 0.0000 0.0000 0.3342
3 Ga 0.5000 0.0000 0.8367
4 Ga 0.0000 0.5000 0.8367
5 Ga 0.5000 0.5000 0.8367
6 Ga 0.5000 0.0000 0.1633
7 Ga 0.0000 0.5000 0.1633
8 Ga 0.5000 0.5000 0.1633
9 Ga 0.5000 0.0000 0.5000
10 Ga 0.0000 0.5000 0.5000
11 Ga 0.5000 0.5000 0.5000
12 Cu 0.3333 0.6667 0.0000
13 Cu 0.6667 0.3333 0.0000
14 Cu 0.3333 0.6667 0.6683
15 Cu 0.6667 0.3333 0.6683
16 Cu 0.6667 0.3333 0.3317
17 Cu 0.3333 0.6667 0.3317

Summary:
Its space group is P6/mmm (191).

Entry 9:
Ca2GaCu | GGA-PBE | relaxed

Cell: 8.0222 8.0222 6.5758 Å, 52.41 52.41 90.00°
Element x y z (fractional)
1 Ca 0.6025 0.1250 0.2500
2 Ca 0.1475 0.6250 0.2500
3 Ca 0.3750 0.3975 0.7500
4 Ca 0.8750 0.8525 0.7500
5 Cu 0.5000 0.5000 0.0000
6 Cu 0.2500 0.7500 0.5000
7 Ga 0.0000 0.0000 0.0000
8 Ga 0.7500 0.2500 0.5000

Summary:
Its space group is I-42d (122).

Entry 10:
Ca2Ga4Cu5 | GGA-PBE | relaxed

Cell: 5.4466 5.4278 8.1029 Å, 80.29 70.36 59.89°
Element x y z (fractional)
1 Ca 0.8584 0.0000 0.2833
2 Ca 0.1416 0.0000 0.7167
3 Ga 0.4715 0.3144 0.7427
4 Ga 0.5285 0.6856 0.2573
5 Ga 0.2141 0.3144 0.2573
6 Ga 0.7859 0.6856 0.7427
7 Cu 0.5000 0.0000 0.0000
8 Cu 0.0000 0.5000 0.0000
9 Cu 0.5000 0.5000 0.0000
10 Cu 0.2500 0.5000 0.5000
11 Cu 0.7500 0.5000 0.5000

Summary:
Its space group is Fmmm (69).

Entry 11:
Ca2Ga2Cu | GGA-PBE | relaxed

Cell: 6.9595 6.9595 4.6964 Å, 90.00 90.00 90.00°
Element x y z (fractional)
1 Ca 0.1733 0.6733 0.5000
2 Ca 0.6733 0.8267 0.5000
3 Ca 0.8267 0.3267 0.5000
4 Ca 0.3267 0.1733 0.5000
5 Cu 0.0000 0.0000 0.0000
6 Cu 0.5000 0.5000 0.0000
7 Ga 0.3666 0.8666 0.0000
8 Ga 0.8666 0.6334 0.0000
9 Ga 0.6334 0.1334 0.0000
10 Ga 0.1334 0.3666 0.0000

Summary:
Its space group is P4/mbm (127). For the energy above the most stable polymorph in this dataset, the calculation gives 0.112 eV/atom.

Entry 12:
CaGa9Cu2 | GGA-PBE | relaxed

Cell: 7.4172 8.5062 8.5062 Å, 79.04 64.15 64.15°
Element x y z (fractional)
1 Ca 0.5000 0.0000 0.0000
2 Ca 0.2500 0.5000 0.5000
3 Ga 0.7500 0.5000 0.5000
4 Ga 0.0000 0.0000 0.0000
5 Ga 0.9969 0.9255 0.6809
6 Ga 0.6033 0.0745 0.3191
7 Ga 0.6724 0.1809 0.5745
8 Ga 0.4279 0.8191 0.4255
9 Ga 0.7531 0.8191 0.5745
10 Ga 0.1467 0.1809 0.4255
11 Ga 0.0776 0.9255 0.3191
12 Ga 0.3221 0.0745 0.6809
13 Ga 0.7531 0.5745 0.8191
14 Ga 0.1467 0.4255 0.1809
15 Ga 0.0776 0.3191 0.9255
16 Ga 0.3221 0.6809 0.0745
17 Ga 0.9969 0.6809 0.9255
18 Ga 0.6033 0.3191 0.0745
19 Ga 0.6724 0.5745 0.1809
20 Ga 0.4279 0.4255 0.8191
21 Cu 0.8750 0.2500 0.7500
22 Cu 0.8750 0.7500 0.2500
23 Cu 0.8750 0.2500 0.2500
24 Cu 0.3750 0.7500 0.7500

Summary:
Its space group is I4_1/amd (141).

| no. | energy relative to the elements (eV/atom) |
| --- | --- |
| 1 | 0.058 |
| 2 | -0.314 |
| 3 | -0.278 |
| 4 | -0.120 |
| 5 | -0.297 |
| 6 | -0.242 |
| 7 | -0.182 |
| 8 | -0.151 |
| 9 | 0.073 |
| 10 | -0.262 |
| 11 | -0.281 |
| 12 | -0.131 |